VASP calculation (GGA-PBE) on a geometry-optimized AgSn3 structure.

Geometry as extended XYZ:
```
8
Lattice="6.6039 0.0000 0.0000 -3.3019 5.7191 0.0000 0.0000 0.0000 5.3436" Properties=species:S:1:pos:R:3 pbc="T T T"
Ag 0.0000 3.8128 1.3359
Ag 3.3019 1.9064 4.0077
Sn 0.0000 1.9615 4.0077
Sn -1.6033 4.7384 4.0077
Sn 1.6987 0.9807 1.3359
Sn 1.6033 4.7384 4.0077
Sn 4.9052 0.9807 1.3359
Sn 3.3019 3.7577 1.3359
```

Values from the calculation:
As for the space group: P6_3/mmc. The calculation puts the total energy at -28.86 eV for the cell shown.


VASP calculation (GGA-PBE) on a geometry-optimized Ag3Sn2 structure.

Geometry as extended XYZ:
```
10
Lattice="2.8148 -5.2712 0.0000 2.8148 5.2712 0.0000 0.0000 0.0000 7.4719" Properties=species:S:1:pos:R:3 pbc="T T T"
Ag 0.0000 0.0000 0.0000
Ag 1.4074 1.5296 1.8680
Ag 1.4074 -1.5296 5.6039
Ag 2.8148 0.0000 3.7359
Ag 4.2223 1.5296 1.8680
Ag 4.2223 -1.5296 5.6039
Sn 2.8148 3.9323 2.8185
Sn 2.8148 1.3389 6.5545
Sn 2.8148 -1.3389 0.9174
Sn 2.8148 -3.9323 4.6534
```

Values from the calculation:
As for the space group: Cmce. The energy relative to the lowest polymorph listed for this composition comes out at 0.0 kJ per mole of atoms.


VASP calculation (GGA-PBE) on a geometry-optimized Ag3Sn structure.

Geometry as extended XYZ:
```
4
Lattice="3.1939 0.0000 0.0000 0.0000 4.7551 0.0000 0.0000 0.0000 5.1730" Properties=species:S:1:pos:R:3 pbc="T T T"
Ag 0.0000 0.0000 0.0000
Ag 0.0000 2.3776 1.7203
Ag 1.5970 0.0000 2.5336
Sn 1.5970 2.3776 4.3047
```

Values from the calculation:
As for the space group: Pmm2. The calculation puts the total energy at -12.44 eV for the cell shown.


VASP calculation (GGA-PBE) on a geometry-optimized Ag13Sn2 structure.

Geometry as extended XYZ:
```
15
Lattice="5.1936 0.0000 0.0000 0.2204 7.2767 0.0000 0.9312 2.5122 7.4412" Properties=species:S:1:pos:R:3 pbc="T T T"
Ag 0.0000 0.0000 0.0000
Ag 0.9575 2.4624 1.4552
Ag 1.9016 4.9698 6.0026
Ag 1.9035 4.8853 2.9486
Ag 2.8046 7.3576 7.4368
Ag 2.7964 7.3250 4.4888
Ag 2.7898 7.2892 1.4462
Ag 3.5554 2.4998 5.9951
Ag 3.5488 2.4639 2.9525
Ag 3.5406 2.4313 0.0044
Ag 4.4417 4.9036 4.4927
Ag 4.4436 4.8191 1.4386
Ag 5.3877 7.3265 5.9861
Sn 0.9996 2.5565 4.5037
Sn 5.3456 7.2325 2.9375
```

Values from the calculation:
As for the space group: P-1. The energy relative to the lowest polymorph listed for this composition comes out at 0.0 kJ per mole of atoms.